The following is a PBE calculation of an optimized crystal structure of BaHgTe2, from the Alexandria database.

a = 8.3481 Å, b = 8.3481 Å, c = 8.9657 Å
α = 90.00°, β = 90.00°, γ = 90.00°
Space group I-42d (No. 122)
Inequivalent atoms, fractional coordinates:
Ba  0.0000  0.0000  0.0000 [4 per cell]
Hg  0.0000  0.0000  0.5000 [4 per cell]
Te  0.1937  0.2500  0.6250 [8 per cell]

ΔE_f (raw): -0.8388 eV/atom